No. 1
Here is a geometry-optimized NaNiBr structure from the Alexandria database. Energies are from GGA-PBE.

Structure (CIF):
```
data_NaNiBr
_symmetry_space_group_name_H-M 'P 4/n m m'
_symmetry_Int_Tables_number 129
_cell_length_a 4.8448
_cell_length_b 4.8448
_cell_length_c 5.9092
_cell_angle_alpha 90.00
_cell_angle_beta 90.00
_cell_angle_gamma 90.00
loop_
_symmetry_equiv_pos_as_xyz
'x,y,z'
'-x,-y,-z'
'-y+1/2,x,z'
'y+1/2,-x,-z'
'-x+1/2,-y+1/2,z'
'x+1/2,y+1/2,-z'
'y,-x+1/2,z'
'-y,x+1/2,-z'
'x+1/2,-y,-z'
'-x+1/2,y,z'
'-y,-x,-z'
'y,x,z'
'-x,y+1/2,-z'
'x,-y+1/2,z'
'y+1/2,x+1/2,-z'
'-y+1/2,-x+1/2,z'
loop_
_atom_site_label
_atom_site_type_symbol
_atom_site_fract_x
_atom_site_fract_y
_atom_site_fract_z
Na1 Na 0.2500 0.2500 0.1261
Ni1 Ni 0.2500 0.2500 0.6177
Br1 Br 0.2500 0.7500 0.5000
```

## Properties
For the density, the calculation gives 3.9 g cm⁻³. Its uncorrected formation energy is 0.087 eV/atom. The relative energy among the computed polymorphs is 486 meV/atom. As for the magnetic moment: 0.00 μB per formula unit.

---

No. 2
Here is a geometry-optimized Na3NiBr4 structure from the Alexandria database. Energies are from GGA-PBE.

Structure (CIF):
```
data_Na3NiBr4
_symmetry_space_group_name_H-M 'I -4 2 m'
_symmetry_Int_Tables_number 121
_symmetry_space_group_name_Hall 'I -4 2'
_cell_length_a 6.5224
_cell_length_b 6.5224
_cell_length_c 12.0917
_cell_angle_alpha 90.00
_cell_angle_beta 90.00
_cell_angle_gamma 90.00
loop_
_atom_site_label
_atom_site_type_symbol
_atom_site_fract_x
_atom_site_fract_y
_atom_site_fract_z
Na1 Na 0.0000 0.0000 0.0000
Na2 Na 0.0000 0.5000 0.2500
Ni1 Ni 0.0000 0.0000 0.5000
Br1 Br 0.2247 0.2247 0.3873
```

## Properties
For the density, the calculation gives 2.9 g cm⁻³. Its uncorrected formation energy is -1.038 eV/atom. As for the magnetic moment: 1.00 μB per formula unit.

---

No. 3
Here is a geometry-optimized NaNiBr structure from the Alexandria database. Energies are from GGA-PBE.

Structure (CIF):
```
data_NaNiBr
_symmetry_space_group_name_H-M 'P 1 21/m 1'
_symmetry_Int_Tables_number 11
_cell_length_a 4.3697
_cell_length_b 5.0189
_cell_length_c 6.9251
_cell_angle_alpha 90.00
_cell_angle_beta 108.14
_cell_angle_gamma 90.00
loop_
_symmetry_equiv_pos_as_xyz
'x,y,z'
'-x,-y,-z'
'-x,y+1/2,-z'
'x,-y+1/2,z'
loop_
_atom_site_label
_atom_site_type_symbol
_atom_site_fract_x
_atom_site_fract_y
_atom_site_fract_z
Na1 Na 0.1164 0.2500 0.2366
Ni1 Ni 0.5000 0.0000 0.0000
Br1 Br 0.3587 0.2500 0.7110
```

## Properties
For the density, the calculation gives 3.7 g cm⁻³. Its uncorrected formation energy is -0.336 eV/atom. The relative energy among the computed polymorphs is 63 meV/atom. As for the magnetic moment: 0.00 μB per formula unit.

---

No. 4
Here is a geometry-optimized Na4NiBr6 structure from the Alexandria database. Energies are from GGA-PBE.

Structure (CIF):
```
data_Na4NiBr6
_symmetry_space_group_name_H-M 'P 4/m n c'
_symmetry_Int_Tables_number 128
_symmetry_space_group_name_Hall '-P 4 2n'
_cell_length_a 8.3840
_cell_length_b 8.3840
_cell_length_c 8.6099
_cell_angle_alpha 90.00
_cell_angle_beta 90.00
_cell_angle_gamma 90.00
loop_
_atom_site_label
_atom_site_type_symbol
_atom_site_fract_x
_atom_site_fract_y
_atom_site_fract_z
Na1 Na 0.1940 0.3060 0.2500
Ni1 Ni 0.0000 0.0000 0.0000
Br1 Br 0.0000 0.0000 0.2952
Br2 Br 0.0743 0.6990 0.0000
```

## Properties
For the density, the calculation gives 3.5 g cm⁻³. Its uncorrected formation energy is -1.159 eV/atom. As for the magnetic moment: 2.00 μB per formula unit.

---

No. 5
Here is a geometry-optimized NaNiBr structure from the Alexandria database. Energies are from GGA-PBE.

Structure (CIF):
```
data_NaNiBr
_symmetry_space_group_name_H-M 'P 1'
_symmetry_Int_Tables_number 1
_cell_length_a 3.4448
_cell_length_b 3.4452
_cell_length_c 10.9082
_cell_angle_alpha 80.92
_cell_angle_beta 80.93
_cell_angle_gamma 90.00
loop_
_symmetry_equiv_pos_as_xyz
'x,y,z'
loop_
_atom_site_label
_atom_site_type_symbol
_atom_site_fract_x
_atom_site_fract_y
_atom_site_fract_z
Na1 Na 0.0000 0.0000 0.0000
Na2 Na 0.1791 0.1710 0.6516
Ni1 Ni 0.4031 0.3829 0.2183
Ni2 Ni 0.8758 0.8560 0.2758
Br1 Br 0.5793 0.5798 0.8407
Br2 Br 0.7574 0.7470 0.4977
```

## Properties
For the density, the calculation gives 4.3 g cm⁻³. Its uncorrected formation energy is -0.376 eV/atom. The relative energy among the computed polymorphs is 22 meV/atom. As for the magnetic moment: 0.87 μB per formula unit.

---

No. 6
Here is a geometry-optimized NaNiBr2 structure from the Alexandria database. Energies are from GGA-PBE.

Structure (CIF):
```
data_NaNiBr2
_symmetry_space_group_name_H-M 'R -3 m'
_symmetry_Int_Tables_number 166
_symmetry_space_group_name_Hall '-R 3 2"'
_cell_length_a 3.8878
_cell_length_b 3.8878
_cell_length_c 24.7542
_cell_angle_alpha 90.00
_cell_angle_beta 90.00
_cell_angle_gamma 120.00
loop_
_atom_site_label
_atom_site_type_symbol
_atom_site_fract_x
_atom_site_fract_y
_atom_site_fract_z
Na1 Na 0.0000 0.0000 0.0000
Ni1 Ni 0.0000 0.0000 0.5000
Br1 Br 0.0000 0.0000 0.1114
```

## Properties
For the density, the calculation gives 3.7 g cm⁻³. Its uncorrected formation energy is -0.378 eV/atom. The relative energy among the computed polymorphs is 268 meV/atom. As for the magnetic moment: 1.07 μB per formula unit.

---

Number 4 is which compound? Na4NiBr6

---

Please write out number 6 again, unchanged.
Here is a geometry-optimized NaNiBr2 structure from the Alexandria database. Energies are from GGA-PBE.

Structure (CIF):
```
data_NaNiBr2
_symmetry_space_group_name_H-M 'R -3 m'
_symmetry_Int_Tables_number 166
_symmetry_space_group_name_Hall '-R 3 2"'
_cell_length_a 3.8878
_cell_length_b 3.8878
_cell_length_c 24.7542
_cell_angle_alpha 90.00
_cell_angle_beta 90.00
_cell_angle_gamma 120.00
loop_
_atom_site_label
_atom_site_type_symbol
_atom_site_fract_x
_atom_site_fract_y
_atom_site_fract_z
Na1 Na 0.0000 0.0000 0.0000
Ni1 Ni 0.0000 0.0000 0.5000
Br1 Br 0.0000 0.0000 0.1114
```

## Properties
For the density, the calculation gives 3.7 g cm⁻³. Its uncorrected formation energy is -0.378 eV/atom. The relative energy among the computed polymorphs is 268 meV/atom. As for the magnetic moment: 1.07 μB per formula unit.

---

What is the density in the second record? 2.9 g cm⁻³

---

magnetic moment of number 2 (Na3NiBr4)? 1.00 μB per formula unit